Entry 1:
# PBE Zr2ZnAs, optimized geometry
data_Zr2ZnAs
_space_group_name_H-M_alt 'R -3 m'
_space_group_IT_number 166
_space_group_name_Hall '-R 3 2"'
_cell_length_a 3.7531
_cell_length_b 3.7531
_cell_length_c 20.1131
_cell_angle_alpha 90.00
_cell_angle_beta 90.00
_cell_angle_gamma 120.00
loop_
_atom_site_label
_atom_site_fract_x
_atom_site_fract_y
_atom_site_fract_z
Zr1 0.0000 0.0000 0.2460
Zn1 0.0000 0.0000 0.0000
As1 0.0000 0.0000 0.5000
# energy relative to the elements	-0.62	eV per atom
# spin magnetization	0.00	μB/f.u.
# calculated volume	20.5	Å³/atom



Entry 2:
# PBE KPu2Cl7, optimized geometry
data_KPu2Cl7
_space_group_name_H-M_alt 'C m m m'
_space_group_IT_number 65
_space_group_name_Hall '-C 2 2'
_cell_length_a 8.676
_cell_length_b 13.961
_cell_length_c 5.390
_cell_angle_alpha 90.00
_cell_angle_beta 90.00
_cell_angle_gamma 90.00
loop_
_atom_site_label
_atom_site_fract_x
_atom_site_fract_y
_atom_site_fract_z
K1 0.000 0.000 0.000
Pu1 0.000 0.305 0.500
Cl1 0.000 0.294 0.000
Cl2 0.000 0.500 0.500
Cl3 0.187 0.139 0.500
# uncorrected formation energy	-1.902	eV/atom
# spin magnetization	10.00	μB/f.u.
# calculated volume	32.6	Å³/atom



Entry 3:
# PBE NaTl2Au, optimized geometry
data_NaTl2Au
_space_group_name_H-M_alt 'P 4/m m m'
_space_group_IT_number 123
_space_group_name_Hall '-P 4 2'
_cell_length_a 3.727
_cell_length_b 3.727
_cell_length_c 7.382
_cell_angle_alpha 90.00
_cell_angle_beta 90.00
_cell_angle_gamma 90.00
loop_
_atom_site_label
_atom_site_fract_x
_atom_site_fract_y
_atom_site_fract_z
Na1 0.000 0.000 0.000
Tl1 0.500 0.500 0.277
Au1 0.000 0.000 0.500
# energy relative to the elements	-0.12	eV per atom
# spin magnetization	0.00	μB/f.u.
# calculated volume	25.6	Å³/atom



Entry 4:
# PBE TaAlO4, optimized geometry
data_TaAlO4
_space_group_name_H-M_alt 'C m m m'
_space_group_IT_number 65
_space_group_name_Hall '-C 2 2'
_cell_length_a 6.442
_cell_length_b 6.588
_cell_length_c 3.006
_cell_angle_alpha 90.00
_cell_angle_beta 90.00
_cell_angle_gamma 90.00
loop_
_atom_site_label
_atom_site_fract_x
_atom_site_fract_y
_atom_site_fract_z
Ta1 0.000 0.000 0.000
Al1 0.000 0.500 0.500
O1 0.000 0.201 0.500
O2 0.191 0.500 0.000
# uncorrected formation energy	-2.870	eV/atom
# spin magnetization	0.00	μB/f.u.
# calculated volume	10.6	Å³/atom



Entry 5:
# PBE Cr2CdBr, optimized geometry
data_Cr2CdBr
_space_group_name_H-M_alt 'R 3 m'
_space_group_IT_number 160
_space_group_name_Hall 'R 3 -2"'
_cell_length_a 3.2017
_cell_length_b 3.2017
_cell_length_c 26.0545
_cell_angle_alpha 90.00
_cell_angle_beta 90.00
_cell_angle_gamma 120.00
loop_
_atom_site_label
_atom_site_fract_x
_atom_site_fract_y
_atom_site_fract_z
Cr1 0.0000 0.0000 0.0000
Cr2 0.0000 0.0000 0.2717
Cd1 0.0000 0.0000 0.7557
Br1 0.0000 0.0000 0.5318
# uncorrected formation energy	0.291	eV/atom
# spin magnetization	0.00	μB/f.u.
# calculated volume	19.3	Å³/atom



Entry 6:
# PBE Er3TlAs4O12, optimized geometry
data_Er3TlAs4O12
_space_group_name_H-M_alt 'R 3 2'
_space_group_IT_number 155
_space_group_name_Hall 'R 3 2"'
_cell_length_a 11.3709
_cell_length_b 11.3709
_cell_length_c 9.0103
_cell_angle_alpha 90.00
_cell_angle_beta 90.00
_cell_angle_gamma 120.00
loop_
_atom_site_label
_atom_site_fract_x
_atom_site_fract_y
_atom_site_fract_z
Er1 0.0000 0.5695 0.0000
Tl1 0.0000 0.0000 0.0000
As1 0.0000 0.0000 0.5000
As2 0.0000 0.4202 0.5000
O1 0.0000 0.5757 0.5000
O2 0.0000 0.8284 0.5000
O3 0.0374 0.2032 0.2252
# uncorrected formation energy	-1.765	eV/atom
# spin magnetization	0.00	μB/f.u.
# calculated volume	16.8	Å³/atom



Entry 7:
# PBE AcSm6Dy2Er, optimized geometry
data_AcSm6Dy2Er
_space_group_name_H-M_alt 'C 1 2/c 1'
_space_group_IT_number 15
_cell_length_a 9.326
_cell_length_b 15.431
_cell_length_c 9.641
_cell_angle_alpha 90.00
_cell_angle_beta 95.42
_cell_angle_gamma 90.00
loop_
_space_group_symop_operation_xyz
'x,y,z'
'-x,-y,-z'
'-x,y,-z+1/2'
'x,-y,z+1/2'
'x+1/2,y+1/2,z'
'-x+1/2,-y+1/2,-z'
'-x+1/2,y+1/2,-z+1/2'
'x+1/2,-y+1/2,z+1/2'
loop_
_atom_site_label
_atom_site_fract_x
_atom_site_fract_y
_atom_site_fract_z
Ac1 0.000 0.027 0.250
Sm1 0.059 0.187 0.945
Sm2 0.102 0.390 0.117
Sm3 0.216 0.227 0.315
Dy1 0.239 0.444 0.452
Er1 0.000 0.413 0.750
# energy relative to the elements	0.12	eV per atom
# spin magnetization	0.00	μB/f.u.
# calculated volume	34.5	Å³/atom



Entry 8:
# PBE ReCS2, optimized geometry
data_ReCS2
_space_group_name_H-M_alt 'I -4 2 d'
_space_group_IT_number 122
_space_group_name_Hall 'I -4 2bw'
_cell_length_a 4.941
_cell_length_b 4.941
_cell_length_c 9.326
_cell_angle_alpha 90.00
_cell_angle_beta 90.00
_cell_angle_gamma 90.00
loop_
_atom_site_label
_atom_site_fract_x
_atom_site_fract_y
_atom_site_fract_z
Re1 0.000 0.000 0.000
C1 0.000 0.000 0.500
S1 0.200 0.250 0.625
# uncorrected formation energy	1.048	eV/atom
# spin magnetization	0.00	μB/f.u.
# calculated volume	14.2	Å³/atom



Entry 9:
# PBE SIO2F, optimized geometry
data_SIO2F
_space_group_name_H-M_alt 'P 4/m m m'
_space_group_IT_number 123
_space_group_name_Hall '-P 4 2'
_cell_length_a 4.363
_cell_length_b 4.363
_cell_length_c 4.462
_cell_angle_alpha 90.00
_cell_angle_beta 90.00
_cell_angle_gamma 90.00
loop_
_atom_site_label
_atom_site_fract_x
_atom_site_fract_y
_atom_site_fract_z
S1 0.000 0.000 0.000
I1 0.500 0.500 0.000
O1 0.000 0.500 0.500
F1 0.500 0.500 0.500
# uncorrected formation energy	1.206	eV/atom
# spin magnetization	4.23	μB/f.u.
# calculated volume	17.0	Å³/atom



Entry 10:
# PBE AgMoPd4, optimized geometry
data_AgMoPd4
_space_group_name_H-M_alt 'P m m m'
_space_group_IT_number 47
_cell_length_a 2.782
_cell_length_b 4.032
_cell_length_c 8.390
_cell_angle_alpha 90.00
_cell_angle_beta 90.00
_cell_angle_gamma 90.00
loop_
_space_group_symop_operation_xyz
'x,y,z'
'-x,-y,-z'
'-x,-y,z'
'x,y,-z'
'x,-y,-z'
'-x,y,z'
'-x,y,-z'
'x,-y,z'
loop_
_atom_site_label
_atom_site_fract_x
_atom_site_fract_y
_atom_site_fract_z
Ag1 0.000 0.000 0.000
Mo1 0.500 0.500 0.500
Pd1 0.000 0.000 0.340
Pd2 0.500 0.500 0.179
# energy relative to the elements	-0.07	eV per atom
# spin magnetization	0.00	μB/f.u.
# calculated volume	15.7	Å³/atom



Entry 11:
# PBE CsTa3Cu, optimized geometry
data_CsTa3Cu
_space_group_name_H-M_alt 'P m -3 m'
_space_group_IT_number 221
_space_group_name_Hall '-P 4 2 3'
_cell_length_a 5.000
_cell_length_b 5.000
_cell_length_c 5.000
_cell_angle_alpha 90.00
_cell_angle_beta 90.00
_cell_angle_gamma 90.00
loop_
_atom_site_label
_atom_site_fract_x
_atom_site_fract_y
_atom_site_fract_z
Cs1 0.000 0.000 0.000
Ta1 0.000 0.000 0.500
Cu1 0.500 0.500 0.500
# energy relative to the elements	3.36	eV per atom
# spin magnetization	0.00	μB/f.u.
# calculated volume	25.0	Å³/atom



Entry 12:
# PBE KPtSeBr2, optimized geometry
data_KPtSeBr2
_space_group_name_H-M_alt 'P 4/m m m'
_space_group_IT_number 123
_space_group_name_Hall '-P 4 2'
_cell_length_a 5.474
_cell_length_b 5.474
_cell_length_c 4.817
_cell_angle_alpha 90.00
_cell_angle_beta 90.00
_cell_angle_gamma 90.00
loop_
_atom_site_label
_atom_site_fract_x
_atom_site_fract_y
_atom_site_fract_z
K1 0.000 0.000 0.000
Pt1 0.500 0.500 0.500
Se1 0.500 0.500 0.000
Br1 0.000 0.500 0.500
# uncorrected formation energy	-0.552	eV/atom
# spin magnetization	0.00	μB/f.u.
# calculated volume	28.9	Å³/atom



Entry 13:
# PBE Ni2IrBr, optimized geometry
data_Ni2IrBr
_space_group_name_H-M_alt 'I 4/m m m'
_space_group_IT_number 139
_space_group_name_Hall '-I 4 2'
_cell_length_a 4.003
_cell_length_b 4.003
_cell_length_c 7.143
_cell_angle_alpha 90.00
_cell_angle_beta 90.00
_cell_angle_gamma 90.00
loop_
_atom_site_label
_atom_site_fract_x
_atom_site_fract_y
_atom_site_fract_z
Ni1 0.000 0.500 0.250
Ir1 0.000 0.000 0.000
Br1 0.000 0.000 0.500
# uncorrected formation energy	0.848	eV/atom
# spin magnetization	1.71	μB/f.u.
# calculated volume	14.3	Å³/atom



Entry 14:
# PBE V3Te, optimized geometry
data_V3Te
_space_group_name_H-M_alt 'P m -3 m'
_space_group_IT_number 221
_space_group_name_Hall '-P 4 2 3'
_cell_length_a 3.931
_cell_length_b 3.931
_cell_length_c 3.931
_cell_angle_alpha 90.00
_cell_angle_beta 90.00
_cell_angle_gamma 90.00
loop_
_atom_site_label
_atom_site_fract_x
_atom_site_fract_y
_atom_site_fract_z
V1 0.000 0.000 0.500
Te1 0.500 0.500 0.500
# uncorrected formation energy	0.076	eV/atom
# spin magnetization	0.00	μB/f.u.
# calculated volume	15.2	Å³/atom



Entry 15:
# PBE Na2SrP2, optimized geometry
data_Na2SrP2
_space_group_name_H-M_alt 'P 4/m b m'
_space_group_IT_number 127
_space_group_name_Hall '-P 4 2ab'
_cell_length_a 8.436
_cell_length_b 8.436
_cell_length_c 3.378
_cell_angle_alpha 90.00
_cell_angle_beta 90.00
_cell_angle_gamma 90.00
loop_
_atom_site_label
_atom_site_fract_x
_atom_site_fract_y
_atom_site_fract_z
Na1 0.119 0.381 0.000
Sr1 0.000 0.000 0.500
P1 0.180 0.680 0.500
# energy relative to the elements	-0.23	eV per atom
# spin magnetization	0.00	μB/f.u.
# calculated volume	24.0	Å³/atom



Entry 16:
# PBE Er14ScTl, optimized geometry
data_Er14ScTl
_space_group_name_H-M_alt 'A m m 2'
_space_group_IT_number 38
_cell_length_a 9.849
_cell_length_b 9.803
_cell_length_c 9.801
_cell_angle_alpha 90.00
_cell_angle_beta 90.00
_cell_angle_gamma 90.00
loop_
_space_group_symop_operation_xyz
'x,y,z'
'-x,-y,z'
'-x,y,z'
'x,-y,z'
'x,y+1/2,z+1/2'
'-x,-y+1/2,z+1/2'
'-x,y+1/2,z+1/2'
'x,-y+1/2,z+1/2'
loop_
_atom_site_label
_atom_site_fract_x
_atom_site_fract_y
_atom_site_fract_z
Er1 0.000 0.000 0.000
Er2 0.000 0.000 0.500
Er3 0.000 0.250 0.250
Er4 0.253 0.000 0.248
Er5 0.254 0.000 0.752
Er6 0.254 0.248 0.000
Er7 0.500 0.249 0.250
Sc1 0.500 0.000 0.000
Tl1 0.500 0.000 0.500
# energy relative to the elements	-0.01	eV per atom
# spin magnetization	0.00	μB/f.u.
# calculated volume	29.6	Å³/atom



Entry 17:
# PBE Ac5Zn5Ir2, optimized geometry
data_Ac5Zn5Ir2
_space_group_name_H-M_alt 'C 1 2/m 1'
_space_group_IT_number 12
_cell_length_a 16.534
_cell_length_b 4.434
_cell_length_c 12.067
_cell_angle_alpha 90.00
_cell_angle_beta 131.46
_cell_angle_gamma 90.00
loop_
_space_group_symop_operation_xyz
'x,y,z'
'-x,-y,-z'
'-x,y,-z'
'x,-y,z'
'x+1/2,y+1/2,z'
'-x+1/2,-y+1/2,-z'
'-x+1/2,y+1/2,-z'
'x+1/2,-y+1/2,z'
loop_
_atom_site_label
_atom_site_fract_x
_atom_site_fract_y
_atom_site_fract_z
Ac1 0.000 0.000 0.000
Ac2 0.117 0.500 0.816
Ac3 0.201 0.500 0.586
Zn1 0.000 0.000 0.500
Zn2 0.063 0.000 0.324
Zn3 0.210 0.500 0.158
Ir1 0.112 0.500 0.266
# energy relative to the elements	-0.40	eV per atom
# spin magnetization	0.00	μB/f.u.
# calculated volume	27.6	Å³/atom



Entry 18:
# PBE AcTi2Zn2O7, optimized geometry
data_AcTi2Zn2O7
_space_group_name_H-M_alt 'I m m m'
_space_group_IT_number 71
_space_group_name_Hall '-I 2 2'
_cell_length_a 3.928
_cell_length_b 4.122
_cell_length_c 17.772
_cell_angle_alpha 90.00
_cell_angle_beta 90.00
_cell_angle_gamma 90.00
loop_
_atom_site_label
_atom_site_fract_x
_atom_site_fract_y
_atom_site_fract_z
Ac1 0.000 0.000 0.000
Ti1 0.000 0.000 0.390
Zn1 0.000 0.500 0.272
O1 0.000 0.000 0.273
O2 0.000 0.000 0.500
O3 0.000 0.500 0.103
O4 0.000 0.500 0.392
# uncorrected formation energy	-2.534	eV/atom
# spin magnetization	0.85	μB/f.u.
# calculated volume	12.0	Å³/atom



Entry 19:
# PBE CdMoAs, optimized geometry
data_CdMoAs
_space_group_name_H-M_alt 'P 3 m 1'
_space_group_IT_number 156
_cell_length_a 3.1364
_cell_length_b 3.1364
_cell_length_c 6.7697
_cell_angle_alpha 90.00
_cell_angle_beta 90.00
_cell_angle_gamma 120.00
loop_
_space_group_symop_operation_xyz
'x,y,z'
'-y,x-y,z'
'-x+y,-x,z'
'-y,-x,z'
'-x+y,y,z'
'x,x-y,z'
loop_
_atom_site_label
_atom_site_fract_x
_atom_site_fract_y
_atom_site_fract_z
Cd1 0.0000 0.0000 0.0000
Mo1 0.3333 0.6667 0.3503
As1 0.6667 0.3333 0.6078
# energy relative to the elements	0.17	eV per atom
# spin magnetization	0.00	μB/f.u.
# calculated volume	19.2	Å³/atom



Entry 20:
# PBE SmDy5Er8, optimized geometry
data_SmDy5Er8
_space_group_name_H-M_alt 'I -4'
_space_group_IT_number 82
_cell_length_a 9.455
_cell_length_b 9.455
_cell_length_c 10.075
_cell_angle_alpha 90.00
_cell_angle_beta 90.00
_cell_angle_gamma 90.00
loop_
_space_group_symop_operation_xyz
'x,y,z'
'y,-x,-z'
'-x,-y,z'
'-y,x,-z'
'x+1/2,y+1/2,z+1/2'
'y+1/2,-x+1/2,-z+1/2'
'-x+1/2,-y+1/2,z+1/2'
'-y+1/2,x+1/2,-z+1/2'
loop_
_atom_site_label
_atom_site_fract_x
_atom_site_fract_y
_atom_site_fract_z
Sm1 0.000 0.000 0.000
Dy1 0.000 0.500 0.750
Dy2 0.113 0.289 0.325
Er1 0.071 0.176 0.652
Er2 0.089 0.328 0.998
# energy relative to the elements	0.25	eV per atom
# spin magnetization	0.01	μB/f.u.
# calculated volume	32.2	Å³/atom